PrPuIn | PBE | optimized geometry

CIF file:
```
data_PrPuIn
_chemical_formula_sum 'Pr4 Pu4 In4'
_cell_length_a 7.412
_cell_length_b 7.412
_cell_length_c 7.412
_cell_angle_alpha 90.00
_cell_angle_beta 90.00
_cell_angle_gamma 90.00
_symmetry_space_group_name_H-M 'F -4 3 m'
_symmetry_Int_Tables_number 216
_symmetry_space_group_name_Hall 'F -4 2 3'
loop_
_atom_site_label
_atom_site_type_symbol
_atom_site_fract_x
_atom_site_fract_y
_atom_site_fract_z
Pr1 Pr 0.000 0.000 0.000
Pu1 Pu 0.000 0.000 0.500
In1 In 0.250 0.250 0.250
```

RbPrInSe3 | PBE | optimized geometry

CIF file:
```
data_RbPrInSe3
_chemical_formula_sum 'Rb4 Pr4 In4 Se12'
_cell_length_a 4.811
_cell_length_b 15.041
_cell_length_c 11.459
_cell_angle_alpha 90.00
_cell_angle_beta 90.00
_cell_angle_gamma 90.00
_symmetry_space_group_name_H-M 'C m c m'
_symmetry_Int_Tables_number 63
_symmetry_space_group_name_Hall '-C 2c 2'
loop_
_atom_site_label
_atom_site_type_symbol
_atom_site_fract_x
_atom_site_fract_y
_atom_site_fract_z
Rb1 Rb 0.000 0.250 0.250
Pr1 Pr 0.000 0.000 0.000
In1 In 0.000 0.485 0.750
Se1 Se 0.000 0.068 0.750
Se2 Se 0.000 0.377 0.560
```

PrZnInS3 | PBE | optimized geometry

CIF file:
```
data_PrZnInS3
_chemical_formula_sum 'Pr4 Zn4 In4 S12'
_cell_length_a 11.395
_cell_length_b 4.201
_cell_length_c 11.959
_cell_angle_alpha 90.00
_cell_angle_beta 90.00
_cell_angle_gamma 90.00
_symmetry_space_group_name_H-M 'P n m a'
_symmetry_Int_Tables_number 62
loop_
_symmetry_equiv_pos_as_xyz
'x,y,z'
'-x,-y,-z'
'-x+1/2,-y,z+1/2'
'x+1/2,y,-z+1/2'
'x+1/2,-y+1/2,-z+1/2'
'-x+1/2,y+1/2,z+1/2'
'-x,y+1/2,-z'
'x,-y+1/2,z'
loop_
_atom_site_label
_atom_site_type_symbol
_atom_site_fract_x
_atom_site_fract_y
_atom_site_fract_z
Pr1 Pr 0.020 0.250 0.173
Zn1 Zn 0.249 0.750 0.303
In1 In 0.163 0.250 0.513
S1 S 0.048 0.750 0.338
S2 S 0.106 0.250 0.941
S3 S 0.220 0.750 0.703
```

PrZnInS3 | PBE | optimized geometry

CIF file:
```
data_PrZnInS3
_chemical_formula_sum 'Pr4 Zn4 In4 S12'
_cell_length_a 4.074
_cell_length_b 14.025
_cell_length_c 11.000
_cell_angle_alpha 90.00
_cell_angle_beta 90.00
_cell_angle_gamma 90.00
_symmetry_space_group_name_H-M 'C m c m'
_symmetry_Int_Tables_number 63
_symmetry_space_group_name_Hall '-C 2c 2'
loop_
_atom_site_label
_atom_site_type_symbol
_atom_site_fract_x
_atom_site_fract_y
_atom_site_fract_z
Pr1 Pr 0.000 0.000 0.000
Zn1 Zn 0.000 0.462 0.250
In1 In 0.000 0.251 0.750
S1 S 0.000 0.062 0.250
S2 S 0.000 0.370 0.074
```

PrScIn | PBE | optimized geometry

CIF file:
```
data_PrScIn
_chemical_formula_sum 'Pr4 Sc4 In4'
_cell_length_a 7.267
_cell_length_b 7.267
_cell_length_c 7.267
_cell_angle_alpha 90.00
_cell_angle_beta 90.00
_cell_angle_gamma 90.00
_symmetry_space_group_name_H-M 'F -4 3 m'
_symmetry_Int_Tables_number 216
_symmetry_space_group_name_Hall 'F -4 2 3'
loop_
_atom_site_label
_atom_site_type_symbol
_atom_site_fract_x
_atom_site_fract_y
_atom_site_fract_z
Pr1 Pr 0.000 0.000 0.000
Sc1 Sc 0.000 0.000 0.500
In1 In 0.250 0.250 0.250
```

PrScIn | PBE | optimized geometry

CIF file:
```
data_PrScIn
_chemical_formula_sum 'Pr4 Sc4 In4'
_cell_length_a 7.299
_cell_length_b 7.299
_cell_length_c 7.299
_cell_angle_alpha 90.00
_cell_angle_beta 90.00
_cell_angle_gamma 90.00
_symmetry_space_group_name_H-M 'F -4 3 m'
_symmetry_Int_Tables_number 216
_symmetry_space_group_name_Hall 'F -4 2 3'
loop_
_atom_site_label
_atom_site_type_symbol
_atom_site_fract_x
_atom_site_fract_y
_atom_site_fract_z
Pr1 Pr 0.000 0.000 0.000
Sc1 Sc 0.250 0.250 0.250
In1 In 0.250 0.250 0.750
```

PrInSiSe4 | PBE | optimized geometry

CIF file:
```
data_PrInSiSe4
_chemical_formula_sum 'Pr2 In2 Si2 Se8'
_cell_length_a 6.842
_cell_length_b 7.008
_cell_length_c 8.893
_cell_angle_alpha 90.00
_cell_angle_beta 107.51
_cell_angle_gamma 90.00
_symmetry_space_group_name_H-M 'P 1 21 1'
_symmetry_Int_Tables_number 4
loop_
_symmetry_equiv_pos_as_xyz
'x,y,z'
'-x,y+1/2,-z'
loop_
_atom_site_label
_atom_site_type_symbol
_atom_site_fract_x
_atom_site_fract_y
_atom_site_fract_z
Pr1 Pr 0.232 0.000 0.054
In1 In 0.261 0.003 0.571
Si1 Si 0.218 0.531 0.814
Se1 Se 0.019 0.260 0.779
Se2 Se 0.023 0.270 0.237
Se3 Se 0.409 0.576 0.073
Se4 Se 0.415 0.538 0.649
```

PrSmIn2 | PBE | optimized geometry

CIF file:
```
data_PrSmIn2
_chemical_formula_sum 'Pr2 Sm2 In4'
_cell_length_a 4.426
_cell_length_b 4.683
_cell_length_c 11.832
_cell_angle_alpha 90.00
_cell_angle_beta 90.00
_cell_angle_gamma 90.00
_symmetry_space_group_name_H-M 'A m m 2'
_symmetry_Int_Tables_number 38
loop_
_symmetry_equiv_pos_as_xyz
'x,y,z'
'-x,-y,z'
'-x,y,z'
'x,-y,z'
'x,y+1/2,z+1/2'
'-x,-y+1/2,z+1/2'
'-x,y+1/2,z+1/2'
'x,-y+1/2,z+1/2'
loop_
_atom_site_label
_atom_site_type_symbol
_atom_site_fract_x
_atom_site_fract_y
_atom_site_fract_z
Pr1 Pr 0.000 0.000 0.000
Sm1 Sm 0.500 0.000 0.721
In1 In 0.000 0.000 0.277
In2 In 0.500 0.000 0.441
```

PrSmIn2 | PBE | optimized geometry

CIF file:
```
data_PrSmIn2
_chemical_formula_sum 'Pr1 Sm1 In2'
_cell_length_a 3.863
_cell_length_b 3.863
_cell_length_c 7.709
_cell_angle_alpha 90.00
_cell_angle_beta 90.00
_cell_angle_gamma 90.00
_symmetry_space_group_name_H-M 'P 4/m m m'
_symmetry_Int_Tables_number 123
_symmetry_space_group_name_Hall '-P 4 2'
loop_
_atom_site_label
_atom_site_type_symbol
_atom_site_fract_x
_atom_site_fract_y
_atom_site_fract_z
Pr1 Pr 0.000 0.000 0.000
Sm1 Sm 0.000 0.000 0.500
In1 In 0.500 0.500 0.258
```

PrSmIn | PBE | optimized geometry

CIF file:
```
data_PrSmIn
_chemical_formula_sum 'Pr4 Sm4 In4'
_cell_length_a 7.521
_cell_length_b 7.521
_cell_length_c 7.521
_cell_angle_alpha 90.00
_cell_angle_beta 90.00
_cell_angle_gamma 90.00
_symmetry_space_group_name_H-M 'F -4 3 m'
_symmetry_Int_Tables_number 216
_symmetry_space_group_name_Hall 'F -4 2 3'
loop_
_atom_site_label
_atom_site_type_symbol
_atom_site_fract_x
_atom_site_fract_y
_atom_site_fract_z
Pr1 Pr 0.000 0.000 0.000
Sm1 Sm 0.000 0.000 0.500
In1 In 0.250 0.250 0.250
```

Pr2In3Sn3 | PBE | optimized geometry

CIF file:
```
data_Pr2In3Sn3
_chemical_formula_sum 'Pr2 In3 Sn3'
_cell_length_a 4.652
_cell_length_b 4.785
_cell_length_c 9.668
_cell_angle_alpha 90.00
_cell_angle_beta 90.00
_cell_angle_gamma 90.00
_symmetry_space_group_name_H-M 'P m m m'
_symmetry_Int_Tables_number 47
loop_
_symmetry_equiv_pos_as_xyz
'x,y,z'
'-x,-y,-z'
'-x,-y,z'
'x,y,-z'
'x,-y,-z'
'-x,y,z'
'-x,y,-z'
'x,-y,z'
loop_
_atom_site_label
_atom_site_type_symbol
_atom_site_fract_x
_atom_site_fract_y
_atom_site_fract_z
Pr1 Pr 0.000 0.000 0.246
In1 In 0.000 0.500 0.000
In2 In 0.000 0.500 0.500
In3 In 0.500 0.000 0.500
Sn1 Sn 0.500 0.000 0.000
Sn2 Sn 0.500 0.500 0.253
```

Pr2InSn | PBE | optimized geometry

CIF file:
```
data_Pr2InSn
_chemical_formula_sum 'Pr4 In2 Sn2'
_cell_length_a 4.435
_cell_length_b 4.732
_cell_length_c 11.902
_cell_angle_alpha 90.00
_cell_angle_beta 90.00
_cell_angle_gamma 90.00
_symmetry_space_group_name_H-M 'A m m 2'
_symmetry_Int_Tables_number 38
loop_
_symmetry_equiv_pos_as_xyz
'x,y,z'
'-x,-y,z'
'-x,y,z'
'x,-y,z'
'x,y+1/2,z+1/2'
'-x,-y+1/2,z+1/2'
'-x,y+1/2,z+1/2'
'x,-y+1/2,z+1/2'
loop_
_atom_site_label
_atom_site_type_symbol
_atom_site_fract_x
_atom_site_fract_y
_atom_site_fract_z
Pr1 Pr 0.000 0.000 0.000
Pr2 Pr 0.500 0.000 0.278
In1 In 0.500 0.000 0.556
Sn1 Sn 0.000 0.000 0.722
```

The records above yield E values of -7.098; -4.340; -4.657; -4.643; -4.668; -4.209; -4.803; -4.186; -4.236; -4.184; -4.229; -4.720 eV per atom, respectively.